## Fe5Rh (PBE)

Data for an optimized crystal structure of Fe5Rh.

Output
- Fermi-level density of states: 8.16 states/eV/f.u.
- SG: P6/mmm, No. 191
- Theoretical density: 8.49 g/cm3
- Energy of formation: 0.323 eV/atom
- Relative energy among the computed polymorphs: 0.3467 eV/atom
- Calculated total energy: -7.9549 eV/atom

Cell and atoms, written as extended XYZ:
```
6
Lattice="2.831 3.462 1.277 -4.447 0.012 1.360 1.000 -2.030 3.288" Properties=species:S:1:pos:R:3 pbc="T T T"
Fe -1.724 -1.009 2.324
Fe -2.021 1.162 1.332
Fe 1.916 0.716 2.282
Fe -0.308 0.722 2.962
Fe 0.405 2.312 1.304
Rh 0.000 0.000 0.000
```